# Ba2Li7Mg | Alexandria | PBE | relaxed
data_Ba2Li7Mg
_cell_length_a 7.675
_cell_length_b 7.675
_cell_length_c 7.675
_cell_angle_alpha 60.00
_cell_angle_beta 60.00
_cell_angle_gamma 60.00
_space_group_name_H-M_alt 'P 1'
_space_group_IT_number 1
_space_group_name_Hall 'P 1'
loop_
_atom_site_label
_atom_site_type_symbol
_atom_site_fract_x
_atom_site_fract_y
_atom_site_fract_z
_atom_site_occupancy
Li1 Li 0.742 0.258 0.258 1
Li2 Li 0.258 0.258 0.742 1
Li3 Li 0.742 0.742 0.258 1
Li4 Li 0.500 0.500 0.500 1
Li5 Li 0.258 0.742 0.258 1
Li6 Li 0.742 0.258 0.742 1
Li7 Li 0.258 0.742 0.742 1
Ba1 Ba 0.750 0.750 0.750 1
Ba2 Ba 0.250 0.250 0.250 1
Mg1 Mg 0.000 0.000 0.000 1
# - SG: No. 225
# - D(E_F): 0.972 states/eV per atom
# - Final energy: -17.56 eV for the cell shown
# - DFT formation energy: 0.13 eV per atom
# - E above lowest polymorph: 83 meV/atom


# Nd3Ho4Tm | Alexandria | PBE | relaxed
data_Nd3Ho4Tm
_cell_length_a 7.196
_cell_length_b 6.214
_cell_length_c 11.570
_cell_angle_alpha 90.00
_cell_angle_beta 90.00
_cell_angle_gamma 90.00
_space_group_name_H-M_alt 'P 1'
_space_group_IT_number 1
_space_group_name_Hall 'P 1'
loop_
_atom_site_label
_atom_site_type_symbol
_atom_site_fract_x
_atom_site_fract_y
_atom_site_fract_z
_atom_site_occupancy
Nd1 Nd 0.190 0.503 0.752 1
Nd2 Nd 0.690 0.497 0.252 1
Nd3 Nd 0.689 0.833 0.000 1
Nd4 Nd 0.189 0.167 0.500 1
Nd5 Nd 0.190 0.503 0.248 1
Nd6 Nd 0.690 0.497 0.748 1
Ho1 Ho 0.689 0.166 0.500 1
Ho2 Ho 0.939 0.000 0.750 1
Ho3 Ho 0.939 0.000 0.250 1
Ho4 Ho 0.938 0.667 0.500 1
Ho5 Ho 0.189 0.834 0.000 1
Ho6 Ho 0.439 0.000 0.250 1
Ho7 Ho 0.438 0.333 0.000 1
Ho8 Ho 0.439 0.000 0.750 1
Tm1 Tm 0.441 0.667 0.500 1
Tm2 Tm 0.941 0.333 0.000 1
# - SG: No. 31
# - D(E_F): 1.284 states/eV per atom
# - Final energy: -74.13 eV for the cell shown
# - DFT formation energy: 0.00 eV per atom
# - E above lowest polymorph: 0 meV/atom


# TmHPb | Alexandria | PBE | relaxed
data_TmHPb
_cell_length_a 3.222
_cell_length_b 3.222
_cell_length_c 6.231
_cell_angle_alpha 104.99
_cell_angle_beta 104.99
_cell_angle_gamma 90.00
_space_group_name_H-M_alt 'P 1'
_space_group_IT_number 1
_space_group_name_Hall 'P 1'
loop_
_atom_site_label
_atom_site_type_symbol
_atom_site_fract_x
_atom_site_fract_y
_atom_site_fract_z
_atom_site_occupancy
Pb1 Pb 0.005 0.005 0.009 1
Tm1 Tm 0.727 0.727 0.455 1
H1 H 0.268 0.268 0.536 1
# - SG: No. 107
# - D(E_F): 0.326 states/eV per atom
# - Final energy: -12.20 eV for the cell shown
# - E above lowest polymorph: 303 meV/atom


# CuHg6O8 | Alexandria | PBE | relaxed
data_CuHg6O8
_cell_length_a 6.511
_cell_length_b 6.511
_cell_length_c 6.511
_cell_angle_alpha 95.49
_cell_angle_beta 95.49
_cell_angle_gamma 95.49
_space_group_name_H-M_alt 'P 1'
_space_group_IT_number 1
_space_group_name_Hall 'P 1'
loop_
_atom_site_label
_atom_site_type_symbol
_atom_site_fract_x
_atom_site_fract_y
_atom_site_fract_z
_atom_site_occupancy
O1 O 0.840 0.373 0.580 1
O2 O 0.373 0.580 0.840 1
O3 O 0.831 0.831 0.831 1
O4 O 0.160 0.627 0.420 1
O5 O 0.580 0.840 0.373 1
O6 O 0.627 0.420 0.160 1
O7 O 0.169 0.169 0.169 1
O8 O 0.420 0.160 0.627 1
Hg1 Hg 0.861 0.715 0.399 1
Hg2 Hg 0.399 0.861 0.715 1
Hg3 Hg 0.139 0.285 0.601 1
Hg4 Hg 0.715 0.399 0.861 1
Hg5 Hg 0.285 0.601 0.139 1
Hg6 Hg 0.601 0.139 0.285 1
Cu1 Cu 0.000 0.000 0.000 1
# - SG: No. 148
# - Uncorrected formation energy: -114 meV per atom
# - D(E_F): 0.446 states/eV per atom
# - Final energy: -47.29 eV for the cell shown


# Ac4La5Dy2 | Alexandria | PBE | relaxed
data_Ac4La5Dy2
_cell_length_a 3.662
_cell_length_b 12.708
_cell_length_c 9.500
_cell_angle_alpha 93.57
_cell_angle_beta 101.11
_cell_angle_gamma 90.00
_space_group_name_H-M_alt 'P 1'
_space_group_IT_number 1
_space_group_name_Hall 'P 1'
loop_
_atom_site_label
_atom_site_type_symbol
_atom_site_fract_x
_atom_site_fract_y
_atom_site_fract_z
_atom_site_occupancy
Dy1 Dy 0.908 0.460 0.816 1
Dy2 Dy 0.092 0.540 0.184 1
Ac1 Ac 0.041 0.267 0.081 1
Ac2 Ac 0.959 0.733 0.919 1
Ac3 Ac 0.719 0.365 0.437 1
Ac4 Ac 0.281 0.635 0.563 1
La1 La 0.500 0.000 0.000 1
La2 La 0.139 0.821 0.278 1
La3 La 0.861 0.179 0.722 1
La4 La 0.190 0.090 0.381 1
La5 La 0.810 0.910 0.619 1
# - SG: No. 12
# - D(E_F): 1.810 states/eV per atom
# - Final energy: -48.33 eV for the cell shown
# - DFT formation energy: 0.18 eV per atom


# MgCrFe2 | Alexandria | PBE | relaxed
data_MgCrFe2
_cell_length_a 4.684
_cell_length_b 4.684
_cell_length_c 4.684
_cell_angle_alpha 133.26
_cell_angle_beta 133.26
_cell_angle_gamma 68.25
_space_group_name_H-M_alt 'P 1'
_space_group_IT_number 1
_space_group_name_Hall 'P 1'
loop_
_atom_site_label
_atom_site_type_symbol
_atom_site_fract_x
_atom_site_fract_y
_atom_site_fract_z
_atom_site_occupancy
Fe1 Fe 0.250 0.750 0.500 1
Fe2 Fe 0.000 0.000 0.000 1
Cr1 Cr 0.750 0.250 0.500 1
Mg1 Mg 0.500 0.500 0.000 1
# - SG: No. 119
# - D(E_F): 0.930 states/eV per atom
# - Final energy: -26.78 eV for the cell shown
# - DFT formation energy: 0.34 eV per atom


# AlW2Se | Alexandria | PBE | relaxed
data_AlW2Se
_cell_length_a 4.812
_cell_length_b 4.812
_cell_length_c 4.812
_cell_angle_alpha 129.31
_cell_angle_beta 129.31
_cell_angle_gamma 74.51
_space_group_name_H-M_alt 'P 1'
_space_group_IT_number 1
_space_group_name_Hall 'P 1'
loop_
_atom_site_label
_atom_site_type_symbol
_atom_site_fract_x
_atom_site_fract_y
_atom_site_fract_z
_atom_site_occupancy
W1 W 0.250 0.750 0.500 1
W2 W 0.000 0.000 0.000 1
Al1 Al 0.500 0.500 0.000 1
Se1 Se 0.750 0.250 0.500 1
# - SG: No. 119
# - Uncorrected formation energy: 479 meV per atom
# - D(E_F): 0.821 states/eV per atom
# - Final energy: -31.22 eV for the cell shown
# - E above lowest polymorph: 357 meV/atom


# TlMo3Au | Alexandria | PBE | relaxed
data_TlMo3Au
_cell_length_a 4.890
_cell_length_b 4.890
_cell_length_c 4.890
_cell_angle_alpha 90.00
_cell_angle_beta 90.00
_cell_angle_gamma 90.00
_space_group_name_H-M_alt 'P 1'
_space_group_IT_number 1
_space_group_name_Hall 'P 1'
loop_
_atom_site_label
_atom_site_type_symbol
_atom_site_fract_x
_atom_site_fract_y
_atom_site_fract_z
_atom_site_occupancy
Mo1 Mo 0.000 0.500 0.000 1
Mo2 Mo 0.000 0.000 0.500 1
Mo3 Mo 0.500 0.000 0.000 1
Au1 Au 0.000 0.000 0.000 1
Tl1 Tl 0.500 0.500 0.500 1
# - SG: No. 221
# - D(E_F): 1.383 states/eV per atom
# - Final energy: -27.58 eV for the cell shown
# - DFT formation energy: 2.11 eV per atom
# - E above lowest polymorph: 0 meV/atom